A relaxed MgCd3Hg6 crystal, computed with PBE.

Lattice parameters (Å, degrees): 6.9397 8.6118 8.6118 94.00 90.00 90.00
With the nearest neighbours (Å) after each atom.
Fractional positions:
Mg1 0.0858 0.1777 0.8223  7 Hg 2.87-3.08, 2 Cd 3.07
Mg2 0.5858 0.8223 0.1777  7 Hg 2.87-3.08, 2 Cd 3.07
Cd1 0.4601 0.0297 0.6928  5 Hg 2.89-3.15, 1 Mg 3.07
Cd2 0.9601 0.6928 0.0297  5 Hg 2.89-3.15, 1 Mg 3.07
Cd3 0.4558 0.4831 0.5169  8 Hg 2.98-3.26
Cd4 0.9558 0.5169 0.4831  8 Hg 2.98-3.26
Cd5 0.9601 0.9703 0.3072  5 Hg 2.89-3.15, 1 Mg 3.07
Cd6 0.4601 0.3072 0.9703  5 Hg 2.89-3.15, 1 Mg 3.07
Hg1 0.0767 0.8400 0.6781  1 Mg 3.08, 3 Hg 3.11-3.44, 2 Cd 3.12-3.26
Hg2 0.5767 0.6781 0.8400  1 Mg 3.08, 3 Hg 3.11-3.44, 2 Cd 3.12-3.26
Hg3 0.1806 0.5109 0.7977  4 Cd 2.89-3.13, 1 Mg 2.97, 2 Hg 3.11-3.17
Hg4 0.6806 0.7977 0.5109  4 Cd 2.89-3.13, 1 Mg 2.97, 2 Hg 3.11-3.17
Hg5 0.2640 0.9653 0.0347  2 Mg 2.87-2.95, 2 Cd 3.15
Hg6 0.7450 0.3080 0.6920  1 Mg 2.88, 4 Cd 2.98-3.11
Hg7 0.2450 0.6920 0.3080  1 Mg 2.88, 4 Cd 2.98-3.11
Hg8 0.7640 0.0347 0.9653  2 Mg 2.87-2.95, 2 Cd 3.15
Hg9 0.1806 0.2023 0.4891  4 Cd 2.89-3.13, 1 Mg 2.97, 2 Hg 3.11-3.17
Hg10 0.6806 0.4891 0.2023  4 Cd 2.89-3.13, 1 Mg 2.97, 2 Hg 3.11-3.17
Hg11 0.0767 0.3219 0.1600  1 Mg 3.08, 3 Hg 3.11-3.44, 2 Cd 3.12-3.26
Hg12 0.5767 0.1600 0.3219  1 Mg 3.08, 3 Hg 3.11-3.44, 2 Cd 3.12-3.26

Output
The density of states at the Fermi level is 0.3764 states/eV per atom. The polymorph energy (0 for the lowest one) comes out at 0 meV per atom.